Here is a relaxed TlAgIr2Os crystal from Alexandria. Energies are from PBE-GGA.

Properties
- calculated volume (Å³/cell) = 114
- total DFT energy (no corrections) (eV per atom) = -4.44
- Fermi-level density of states (states/eV/f.u.) = 8.6
- ΔH_f (0 K) (kJ/mol of atoms) = 230.8

Lattice parameters (Å, degrees): 4.8692 4.8280 4.8692 90.00 90.00 90.00
Last column: nearest neighbours and their distance in Å.
Atoms (fractional coordinates):
Ir (0.5000, 0.0000, 0.0000)  2 Ag 2.43
Ir (0.0000, 0.0000, 0.5000)  2 Ag 2.43
Os (0.0000, 0.5000, 0.0000)  2 Ag 2.41
Tl (0.5000, 0.5000, 0.5000)  8 Ir 3.43, 4 Os 3.44
Ag (0.0000, 0.0000, 0.0000)  2 Os 2.41, 4 Ir 2.43